1.
A relaxed structure of GaAg4Au2. Source: the Alexandria database, functional PBE-GGA.

Volume: 18.942 Å³/atom
E: -3.000 eV/atom
Energy above the most stable polymorph in this dataset: 40 meV per atom

a = 7.7493 Å, b = 8.2161 Å, c = 4.1651 Å
α = 90.00°, β = 90.00°, γ = 90.00°
Space group Cmmm (No. 65)
One atom of each set of equivalent atoms:
Ga1 0.0000 0.0000 0.0000 (multiplicity 2)
Ag1 0.1869 0.5000 0.5000 (multiplicity 4)
Ag2 0.2500 0.2500 0.0000 (multiplicity 4)
Au1 0.0000 0.2014 0.5000 (multiplicity 4)

---

2.
A relaxed structure of GaAg3Au4. Source: the Alexandria database, functional PBE-GGA.

Volume: 17.803 Å³/atom
E: -3.151 eV/atom
Energy above the most stable polymorph in this dataset: 0 meV per atom

a = 5.8858 Å, b = 5.9122 Å, c = 16.3713 Å
α = 90.00°, β = 90.00°, γ = 90.00°
Space group Fmmm (No. 69)
One atom of each set of equivalent atoms:
Ga1 0.0000 0.0000 0.0000 (multiplicity 4)
Ag1 0.0000 0.0000 0.2515 (multiplicity 8)
Ag2 0.0000 0.0000 0.5000 (multiplicity 4)
Au1 0.2500 0.2500 0.1225 (multiplicity 16)

---

3.
A relaxed structure of GaAg2Au4. Source: the Alexandria database, functional PBE-GGA.

Volume: 18.426 Å³/atom
E: -3.157 eV/atom
Energy above the most stable polymorph in this dataset: 9 meV per atom

a = 14.5572 Å, b = 2.9405 Å, c = 6.7093 Å
α = 90.00°, β = 116.07°, γ = 90.00°
Space group C2/m (No. 12)
One atom of each set of equivalent atoms:
Ga1 0.0000 0.0000 0.0000 (multiplicity 2)
Ag1 0.2279 0.0000 0.1811 (multiplicity 4)
Au1 0.0870 0.0000 0.7226 (multiplicity 4)
Au2 0.1108 0.5000 0.3659 (multiplicity 4)

---

4.
A relaxed structure of Ga4AgAu12. Source: the Alexandria database, functional PBE-GGA.

Volume: 21.036 Å³/atom
E: -3.063 eV/atom

a = 8.9429 Å, b = 8.9429 Å, c = 8.9429 Å
α = 90.00°, β = 90.00°, γ = 90.00°
Space group Im-3 (No. 204)
One atom of each set of equivalent atoms:
Ga1 0.2500 0.2500 0.2500 (multiplicity 8)
Ag1 0.0000 0.0000 0.0000 (multiplicity 2)
Au1 0.0000 0.1546 0.3441 (multiplicity 24)

---

5.
A relaxed structure of GaAg3Au2. Source: the Alexandria database, functional PBE-GGA.

Volume: 17.880 Å³/atom
E: -3.031 eV/atom
Energy above the most stable polymorph in this dataset: 0 meV per atom

a = 2.8697 Å, b = 4.6302 Å, c = 8.0740 Å
α = 90.00°, β = 90.00°, γ = 90.00°
Space group Pmm2 (No. 25)
One atom of each set of equivalent atoms:
Ga1 0.0000 0.0000 0.0000 (multiplicity 1)
Ag1 0.0000 0.0000 0.3267 (multiplicity 1)
Ag2 0.0000 0.5000 0.5048 (multiplicity 1)
Ag3 0.0000 0.5000 0.8431 (multiplicity 1)
Au1 0.5000 0.0000 0.6717 (multiplicity 1)
Au2 0.5000 0.5000 0.1692 (multiplicity 1)

---

6.
A relaxed structure of Ga2AgAu. Source: the Alexandria database, functional PBE-GGA.

Volume: 25.994 Å³/atom
E: -2.850 eV/atom
Energy above the most stable polymorph in this dataset: 259 meV per atom

a = 5.8770 Å, b = 5.8770 Å, c = 12.0412 Å
α = 90.00°, β = 90.00°, γ = 90.00°
Space group I-42d (No. 122)
One atom of each set of equivalent atoms:
Ga1 0.2425 0.2500 0.1250 (multiplicity 8)
Ag1 0.0000 0.0000 0.5000 (multiplicity 4)
Au1 0.0000 0.0000 0.0000 (multiplicity 4)

---

What did the fourth record say?
A relaxed structure of Ga4AgAu12. Source: the Alexandria database, functional PBE-GGA.

Volume: 21.036 Å³/atom
E: -3.063 eV/atom

a = 8.9429 Å, b = 8.9429 Å, c = 8.9429 Å
α = 90.00°, β = 90.00°, γ = 90.00°
Space group Im-3 (No. 204)
One atom of each set of equivalent atoms:
Ga1 0.2500 0.2500 0.2500 (multiplicity 8)
Ag1 0.0000 0.0000 0.0000 (multiplicity 2)
Au1 0.0000 0.1546 0.3441 (multiplicity 24)